Record 1
Material: BaNiAs
Method: DFT, GGA-PBE
State: optimized geometry

The space group is Imm2 (No. 44) and the conventional cell measures 4.512, 4.523 and 8.826 Å, with angles of 90.00, 90.00 and 90.00 degrees. Symmetry generates all atoms from Ba at (0.000, 0.000, 0.000), Ni at (0.000, 0.000, 0.611) and As at (0.000, 0.000, 0.362).

The formation energy is -0.99 kcal/mol of atoms. The value obtained for the size of the total moment is 1.79 Bohr magnetons per cell. For the density of states at the Fermi level, the calculation gives 1.05 states/eV/atom.

---

Record 2
Material: InSnSb
Method: DFT, GGA-PBE
State: optimized geometry

The space group is P3m1 (No. 156) and the conventional cell measures 4.3954, 4.3954 and 5.4273 Å, with angles of 90.00, 90.00 and 120.00 degrees. Symmetry generates all atoms from In at (0.0000, 0.0000, 0.0000), Sn at (0.3333, 0.6667, 0.6350) and Sb at (0.6667, 0.3333, 0.3383).

The value obtained for the size of the total moment is 0.00 Bohr magnetons per cell. The value obtained for the polymorph energy (0 for the lowest one) is 0 meV per atom. For the density of states at the Fermi level, the calculation gives 0.36 states/eV/atom. The energy relative to the elements, uncorrected is -0.003 eV/atom.